Entry 1:
A relaxed structure of CeMn17Co, computed with PBE.

Lattice parameters (Å, degrees): 7.9958 7.9958 12.4992 90.00 90.00 120.00
Space group R3m (No. 160, hexagonal axes)
Unique sites:
Ce (0.0000, 0.0000, 0.0000) (multiplicity 3)
Mn (0.0000, 0.0000, 0.2519) (multiplicity 3)
Mn (0.0000, 0.0000, 0.4283) (multiplicity 3)
Mn (0.0023, 0.5012, 0.5003) (multiplicity 9)
Mn (0.0038, 0.5019, 0.1851) (multiplicity 9)
Mn (0.0148, 0.3666, 0.0068) (multiplicity 18)
Mn (0.1677, 0.3355, 0.1686) (multiplicity 9)
Co (0.0000, 0.0000, 0.7349) (multiplicity 3)

Results
Fermi-level density of states   27.64 states/eV/f.u.
Magnetization   11.07 μB per cell
Formation energy   193 meV/atom

Entry 2:
A relaxed structure of CeNpMnCo, computed with PBE.

Lattice parameters (Å, degrees): 6.4227 6.4227 6.4227 90.00 90.00 90.00
Space group F-43m (No. 216)
Unique sites:
Ce (0.0000, 0.0000, 0.0000) (multiplicity 4)
Np (0.2500, 0.2500, 0.7500) (multiplicity 4)
Mn (0.0000, 0.0000, 0.5000) (multiplicity 4)
Co (0.2500, 0.2500, 0.2500) (multiplicity 4)

Results
Fermi-level density of states   11.64 states/eV/f.u.
Magnetization   1.53 μB per cell
Formation energy   128 meV/atom